1.
Compound: In3Se
Source: Alexandria
Functional: PBE
Structure: relaxed

**Raw formation energy**: -0.106 eV/atom
**D(E_F)**: 1.3 states/eV/f.u.
**Volume**: 112.1 Å³/f.u.

Cell: 3.8501 4.8149 6.0458 Å, 90.00 90.00 90.00°
Sites, in units of the cell vectors:
1 In 0.0000 0.0000 0.0000
2 In 0.0000 0.5000 0.4352
3 In 0.5000 0.5000 0.8710
4 Se 0.5000 0.0000 0.3662

***

2.
Compound: In5Se
Source: Alexandria
Functional: PBE
Structure: relaxed

**Raw formation energy**: -0.027 eV/atom
**D(E_F)**: 2.6 states/eV/f.u.
**Distance to the lowest polymorph of the same formula**: 0.066 eV/atom
**Volume**: 161.7 Å³/f.u.

Cell: 5.9585 5.9585 5.2589 Å, 90.00 90.00 120.00°
Sites, in units of the cell vectors:
1 In 0.0000 0.6810 0.0000
2 In 0.3190 0.3190 0.0000
3 In 0.3333 0.6667 0.5000
4 In 0.6667 0.3333 0.5000
5 In 0.6810 0.0000 0.0000
6 Se 0.0000 0.0000 0.5000

***

3.
Compound: InSe3
Source: Alexandria
Functional: PBE
Structure: relaxed

**Raw formation energy**: -0.087 eV/atom
**D(E_F)**: 0.7 states/eV/f.u.
**Volume**: 110.7 Å³/f.u.

Cell: 3.7888 3.7888 7.7111 Å, 90.00 90.00 90.00°
Sites, in units of the cell vectors:
1 In 0.0000 0.0000 0.0000
2 Se 0.0000 0.5000 0.3530
3 Se 0.5000 0.0000 0.3530
4 Se 0.5000 0.5000 0.8808

***

4.
Compound: InSe3
Source: Alexandria
Functional: PBE
Structure: relaxed

**Raw formation energy**: -0.135 eV/atom
**D(E_F)**: 2.2 states/eV/f.u.
**Volume**: 96.0 Å³/f.u.

Cell: 4.0966 4.0966 5.7203 Å, 90.00 90.00 90.00°
Sites, in units of the cell vectors:
1 In 0.0000 0.0000 0.0000
2 Se 0.0000 0.0000 0.5000
3 Se 0.5000 0.5000 0.0000
4 Se 0.5000 0.5000 0.5000

***

5.
Compound: In3Se
Source: Alexandria
Functional: PBE
Structure: relaxed

**Raw formation energy**: -0.047 eV/atom
**D(E_F)**: 1.5 states/eV/f.u.
**Volume**: 109.9 Å³/f.u.

Cell: 6.0347 6.0347 6.0347 Å, 90.00 90.00 90.00°
Sites, in units of the cell vectors:
1 In 0.0000 0.2500 0.5000
2 In 0.0000 0.7500 0.5000
3 In 0.2500 0.5000 0.0000
4 In 0.5000 0.0000 0.2500
5 In 0.5000 0.0000 0.7500
6 In 0.7500 0.5000 0.0000
7 Se 0.0000 0.0000 0.0000
8 Se 0.5000 0.5000 0.5000

***

6.
Compound: InSe3
Source: Alexandria
Functional: PBE
Structure: relaxed

**Raw formation energy**: 0.254 eV/atom
**D(E_F)**: 2.1 states/eV/f.u.
**Volume**: 87.7 Å³/f.u.

Cell: 4.9878 4.9878 4.9878 Å, 60.00 60.00 60.00°
Sites, in units of the cell vectors:
1 In 0.0000 0.0000 0.0000
2 Se 0.2500 0.2500 0.2500
3 Se 0.5000 0.5000 0.5000
4 Se 0.7500 0.7500 0.7500

***

7.
Compound: In3Se
Source: Alexandria
Functional: PBE
Structure: relaxed

**Raw formation energy**: -0.116 eV/atom
**D(E_F)**: 1.3 states/eV/f.u.
**Volume**: 107.9 Å³/f.u.

Cell: 10.6786 10.6786 10.6786 Å, 155.09 155.09 35.52°
Sites, in units of the cell vectors:
1 In 0.0000 0.5000 0.5000
2 In 0.1267 0.1267 0.0000
3 In 0.2500 0.7500 0.5000
4 In 0.5000 0.0000 0.5000
5 In 0.7500 0.2500 0.5000
6 In 0.8733 0.8733 0.0000
7 Se 0.3807 0.3807 0.0000
8 Se 0.6193 0.6193 0.0000

***

8.
Compound: InSe3
Source: Alexandria
Functional: PBE
Structure: relaxed

**Raw formation energy**: 0.329 eV/atom
**D(E_F)**: 5.3 states/eV/f.u.
**Volume**: 89.8 Å³/f.u.

Cell: 5.6416 5.6416 5.6416 Å, 90.00 90.00 90.00°
Sites, in units of the cell vectors:
1 In 0.0000 0.0000 0.0000
2 In 0.5000 0.5000 0.5000
3 Se 0.0000 0.2500 0.5000
4 Se 0.0000 0.7500 0.5000
5 Se 0.2500 0.5000 0.0000
6 Se 0.5000 0.0000 0.2500
7 Se 0.5000 0.0000 0.7500
8 Se 0.7500 0.5000 0.0000

***

9.
Compound: In3Se
Source: Alexandria
Functional: PBE
Structure: relaxed

**Raw formation energy**: -0.147 eV/atom
**D(E_F)**: 1.7 states/eV/f.u.
**Volume**: 112.8 Å³/f.u.

Cell: 3.9735 3.9735 8.2498 Å, 90.00 90.00 120.00°
Sites, in units of the cell vectors:
1 In 0.0000 0.0000 0.0000
2 In 0.3333 0.6667 0.2729
3 In 0.3333 0.6667 0.7271
4 Se 0.0000 0.0000 0.5000

***

10.
Compound: InSe3
Source: Alexandria
Functional: PBE
Structure: relaxed

**Raw formation energy**: -0.267 eV/atom
**Volume**: 124.2 Å³/f.u.

Cell: 4.1625 7.9988 8.2766 Å, 65.70 84.68 81.70°
Sites, in units of the cell vectors:
1 In 0.0000 0.0000 0.0000
2 In 0.4349 0.4506 0.7338
3 Se 0.2902 0.8080 0.5426
4 Se 0.4302 0.5449 0.2492
5 Se 0.4711 0.2740 0.5273
6 Se 0.5484 0.9159 0.8592
7 Se 0.9123 0.3489 0.9652
8 Se 0.9973 0.7228 0.3481

***

11.
Compound: In5Se
Source: Alexandria
Functional: PBE
Structure: relaxed

**Raw formation energy**: -0.068 eV/atom
**D(E_F)**: 2.8 states/eV/f.u.
**Distance to the lowest polymorph of the same formula**: 0.024 eV/atom
**Volume**: 161.5 Å³/f.u.

Cell: 3.6081 3.6081 12.4035 Å, 90.00 90.00 90.00°
Sites, in units of the cell vectors:
1 In 0.0000 0.0000 0.0000
2 In 0.0000 0.0000 0.3595
3 In 0.0000 0.0000 0.6405
4 In 0.5000 0.5000 0.1714
5 In 0.5000 0.5000 0.8286
6 Se 0.5000 0.5000 0.5000

***

12.
Compound: InSe3
Source: Alexandria
Functional: PBE
Structure: relaxed

**Raw formation energy**: -0.284 eV/atom
**Volume**: 126.6 Å³/f.u.

Cell: 4.1683 7.2943 9.1694 Å, 69.75 78.41 77.78°
Sites, in units of the cell vectors:
1 In 0.0000 0.0000 0.0000
2 In 0.4346 0.7252 0.3835
3 Se 0.0313 0.6503 0.2177
4 Se 0.0541 0.0310 0.7046
5 Se 0.2921 0.5067 0.6743
6 Se 0.3301 0.1041 0.3416
7 Se 0.3951 0.2082 0.0597
8 Se 0.8206 0.7499 0.7154